The following is a DFT calculation (PBE) of crystalline Ir2Pb at its relaxed geometry.

Summary:
Energy (eV per atom): -3.91
Symmetry: Fd-3m (227)
Energy above the most stable polymorph in this dataset (meV per atom): 2815

The structure in POSCAR format:
```
Ir2Pb
1.0
0.000 6.062 6.062
6.062 0.000 6.062
6.062 6.062 0.000
Ir Pb
4 2
Direct
0.000 0.000 0.000
0.000 0.000 0.500
0.000 0.500 0.000
0.500 0.000 0.000
0.125 0.125 0.125
0.875 0.875 0.875
```

The following is a DFT calculation (PBE) of crystalline Ir8Pb at its relaxed geometry.

Summary:
Energy (eV per atom): -8.17
Symmetry: C2/m (12)

The structure in POSCAR format:
```
Ir8Pb
1.0
4.304 -1.938 0.000
4.304 1.938 0.000
-0.018 0.000 29.830
Ir Pb
16 2
Direct
0.049 0.049 0.456
0.149 0.149 0.370
0.151 0.151 0.661
0.250 0.250 0.284
0.251 0.251 0.573
0.350 0.350 0.486
0.447 0.447 0.399
0.447 0.447 0.688
0.553 0.553 0.312
0.553 0.553 0.601
0.650 0.650 0.514
0.749 0.749 0.427
0.750 0.750 0.716
0.849 0.849 0.339
0.851 0.851 0.630
0.951 0.951 0.544
0.049 0.049 0.761
0.951 0.951 0.239
```

The following is a DFT calculation (PBE) of crystalline Ir9Pb2 at its relaxed geometry.

Summary:
Energy (eV per atom): -7.56
Symmetry: P-3m1 (164)

The structure in POSCAR format:
```
Ir9Pb2
1.0
2.845 0.000 0.000
-1.423 2.464 0.000
0.000 0.000 35.370
Ir Pb
9 2
Direct
0.000 0.000 0.000
0.000 0.000 0.186
0.000 0.000 0.814
0.333 0.667 0.124
0.333 0.667 0.753
0.333 0.667 0.938
0.667 0.333 0.062
0.667 0.333 0.247
0.667 0.333 0.876
0.333 0.667 0.319
0.667 0.333 0.681
```

The following is a DFT calculation (PBE) of crystalline Ir15Pb at its relaxed geometry.

Summary:
Energy (eV per atom): -8.45
Symmetry: Pmma (51)
Energy above the most stable polymorph in this dataset (meV per atom): 0

The structure in POSCAR format:
```
Ir15Pb
1.0
3.867 0.000 0.000
0.000 3.867 0.000
0.000 0.000 44.537
Ir Pb
30 2
Direct
0.250 0.000 0.022
0.250 0.000 0.109
0.250 0.000 0.196
0.250 0.000 0.282
0.250 0.000 0.675
0.250 0.000 0.760
0.250 0.000 0.848
0.250 0.000 0.935
0.250 0.500 0.065
0.250 0.500 0.152
0.250 0.500 0.240
0.250 0.500 0.718
0.250 0.500 0.804
0.250 0.500 0.891
0.250 0.500 0.978
0.750 0.000 0.065
0.750 0.000 0.152
0.750 0.000 0.240
0.750 0.000 0.325
0.750 0.000 0.718
0.750 0.000 0.804
0.750 0.000 0.891
0.750 0.000 0.978
0.750 0.500 0.022
0.750 0.500 0.109
0.750 0.500 0.196
0.750 0.500 0.282
0.750 0.500 0.760
0.750 0.500 0.848
0.750 0.500 0.935
0.250 0.500 0.344
0.750 0.500 0.656
```

> energy of number 1 (Ir2Pb)?

-3.91 eV per atom

> Which formula does entry 3 have?

Ir9Pb2

> Which of these has the highest energy?

Ir2Pb